(1)
A plane-wave DFT calculation with PBE-GGA was carried out for an optimized crystal structure of BeAl2Ru.

Calculated values
Formation energy from the elements ... 34 meV/atom
Calculated volume ... 111.0 Å³ per cell
DOS(E_F) ... 0.590 states/eV/atom

Lattice parameters (Å, degrees): 3.1501 4.4919 7.8425 90.00 90.00 90.00
Closest atoms and distances in Å follow each position.
Space group Cmm2 (No. 35)
Asymmetric unit:
Be  0.0000  0.0000  0.0000  2 Ru 2.26, 2 Al 2.50
Al  0.0000  0.0000  0.5452  2 Ru 2.50, 4 Al 2.74
Al  0.0000  0.5000  0.2479  2 Be 2.50, 4 Al 2.74
Ru  0.0000  0.5000  0.7931  2 Be 2.26, 2 Al 2.50

---

(2)
A plane-wave DFT calculation with PBE-GGA was carried out for an optimized crystal structure of NbAlNi.

Calculated values
Formation energy from the elements ... -440 meV/atom
Calculated volume ... 344.0 Å³ per cell
DOS(E_F) ... 1.091 states/eV/atom

Lattice parameters (Å, degrees): 8.0303 5.0470 8.4868 90.00 90.00 90.00
Closest atoms and distances in Å follow each position.
Space group Amm2 (No. 38)
Asymmetric unit:
Nb  0.1795  0.0000  0.0000  5 Al 2.84-2.95, 7 Ni 2.84-2.98, 4 Nb 2.88-3.07
Nb  0.3014  0.0000  0.3285  5 Ni 2.79-2.99, 7 Al 2.89-2.99, 3 Nb 2.95-3.07
Al  0.2382  0.0000  0.6704  4 Ni 2.42-2.47, 2 Al 2.62
Al  0.5000  0.2424  0.0679  2 Ni 2.42-2.52, 4 Al 2.45-2.62
Ni  0.0000  0.0000  0.4938  4 Ni 2.39-2.54, 2 Al 2.43
Ni  0.0000  0.2403  0.2506  4 Ni 2.39-2.62, 2 Al 2.42
Ni  0.5000  0.0000  0.8223  6 Al 2.42-2.52

---

Q: Which value of formation energy from the elements does entry 1 give?
A: 34 meV/atom

---

Q: Look up the formation energy from the elements of the first one.
A: 34 meV/atom

---

Q: What is the formula in the first record?
A: BeAl2Ru

---

Q: Which formula does entry 2 have?
A: NbAlNi